Density functional theory data (GGA+U) for a relaxed structure of MgCrIrO6.

Cell and atoms, written as POSCAR:
```
MgCrIrO6
1.0
5.050 0.000 0.000
-2.525 4.373 0.000
0.000 0.000 8.568
Mg Cr Ir O
2 2 2 12
Direct
0.333 0.667 0.250
0.667 0.333 0.750
0.000 0.000 0.000
0.000 0.000 0.500
0.333 0.667 0.750
0.667 0.333 0.250
0.018 0.345 0.625
0.018 0.673 0.875
0.327 0.345 0.875
0.327 0.982 0.625
0.345 0.018 0.125
0.345 0.327 0.375
0.655 0.673 0.625
0.655 0.982 0.875
0.673 0.018 0.375
0.673 0.655 0.125
0.982 0.327 0.125
0.982 0.655 0.375
```

Output
Final energy = -119.434 eV/cell
SG = No. 163
M_tot = 0.15 μB/atom